# Pm2GaCoO6

Crystalline Pm2GaCoO6 at its relaxed geometry (PBE+U, Alexandria via LeMat-Bulk).

Cell lengths 5.3883, 5.5129, 7.6616 Å; angles 90.00, 89.72, 90.00 degrees
With the nearest neighbours (Å) after each atom.
Fractional positions:
Co  0.0000  0.5000  0.5000  6 O 1.95-1.96
O  0.5849  0.0193  0.2470  1 Co 1.95, 1 Ga 1.99
Ga  0.0000  0.5000  0.0000  6 O 1.99-2.01
O  0.7041  0.2887  0.9545  1 Co 1.96, 1 Ga 2.01
Pm  0.5128  0.5529  0.7504  6 O 2.34-2.54
O  0.7109  0.2942  0.5450  1 Co 1.96, 1 Ga 2.01
O  0.9151  0.5193  0.2530  1 Co 1.95, 1 Ga 1.99
O  0.2959  0.7113  0.0455  1 Co 1.96, 1 Ga 2.01
Pm  0.9872  0.0529  0.7496  6 O 2.34-2.54
O  0.2041  0.2113  0.4545  1 Co 1.96, 1 Ga 2.01
Ga  0.5000  0.0000  0.5000  6 O 1.99-2.01
O  0.2891  0.7058  0.4550  1 Co 1.96, 1 Ga 2.01
Pm  0.0128  0.9471  0.2504  6 O 2.34-2.54
Co  0.5000  0.0000  0.0000  6 O 1.95-1.96
O  0.0849  0.4807  0.7470  1 Co 1.95, 1 Ga 1.99
O  0.7891  0.7942  0.9550  1 Co 1.96, 1 Ga 2.01
O  0.4151  0.9807  0.7530  1 Co 1.95, 1 Ga 1.99
Pm  0.4872  0.4471  0.2496  6 O 2.34-2.54
O  0.7959  0.7887  0.5455  1 Co 1.96, 1 Ga 2.01
O  0.2109  0.2058  0.0450  1 Co 1.96, 1 Ga 2.01

The value obtained for the magnetization is 0.00 μB per atom. For the calculated density, the calculation gives 7.5 g/cm3. The calculation puts the density of states at the Fermi level at 0.00 states/eV per cell. Its total DFT energy (no corrections) is -143.2 eV for the cell shown. The space group is No. 14.